Record 1
First-principles (GGA-PBE) data for a relaxed Y7Cu2Hg2 crystal, as listed in Alexandria.

Energy relative to the elements ... -0.082 eV per atom

Unit cell a=6.847 b=6.847 c=7.095 alpha=90.00 beta=90.00 gamma=110.02
Atoms (fractional coordinates):
Y 0.000 0.000 0.000
Y 0.000 0.500 0.257
Y 0.000 0.500 0.743
Y 0.500 0.000 0.257
Y 0.500 0.000 0.743
Y 0.500 0.500 0.245
Y 0.500 0.500 0.755
Cu 0.300 0.700 0.000
Cu 0.700 0.300 0.000
Hg 0.181 0.181 0.500
Hg 0.819 0.819 0.500

Record 2
First-principles (GGA-PBE) data for a relaxed KSnPb2Br8 crystal, as listed in Alexandria.

E_form (uncorrected) ... -938 meV/atom

Unit cell a=6.899 b=9.164 c=7.224 alpha=90.00 beta=90.99 gamma=90.00
Atoms (fractional coordinates):
K 0.000 0.000 0.000
Sn 0.000 0.500 0.000
Pb 0.500 0.251 0.500
Pb 0.500 0.749 0.500
Br 0.236 0.283 0.161
Br 0.236 0.717 0.161
Br 0.241 0.500 0.682
Br 0.272 0.000 0.640
Br 0.728 0.000 0.360
Br 0.759 0.500 0.318
Br 0.764 0.283 0.839
Br 0.764 0.717 0.839

Record 3
First-principles (GGA-PBE) data for a relaxed InHgN crystal, as listed in Alexandria.

Energy relative to the lowest polymorph listed for this composition ... 39 kJ/mol of formula units
E_form (uncorrected) ... 229 meV/atom

Unit cell a=3.697 b=3.697 c=11.738 alpha=90.97 beta=90.97 gamma=60.03
Atoms (fractional coordinates):
In 0.000 0.000 0.000
In 0.675 0.675 0.214
Hg 0.013 0.013 0.724
Hg 0.664 0.664 0.490
N 0.008 0.008 0.208
N 0.667 0.667 0.005

Record 4
First-principles (GGA-PBE) data for a relaxed La5PrNd12 crystal, as listed in Alexandria.

Energy relative to the elements ... 0.014 eV per atom

Unit cell a=11.094 b=11.094 c=5.244 alpha=90.00 beta=90.00 gamma=90.02
Atoms (fractional coordinates):
La 0.000 0.000 0.000
La 0.166 0.834 0.500
La 0.333 0.667 0.000
La 0.667 0.333 0.000
La 0.834 0.166 0.500
Pr 0.500 0.500 0.500
Nd 0.001 0.335 0.000
Nd 0.166 0.499 0.500
Nd 0.168 0.168 0.500
Nd 0.332 0.332 0.000
Nd 0.335 0.001 0.000
Nd 0.499 0.166 0.500
Nd 0.501 0.834 0.500
Nd 0.665 0.999 0.000
Nd 0.668 0.668 0.000
Nd 0.832 0.832 0.500
Nd 0.834 0.501 0.500
Nd 0.999 0.665 0.000

Record 5
First-principles (GGA-PBE) data for a relaxed MoRuAu2 crystal, as listed in Alexandria.

Energy relative to the elements ... 0.380 eV per atom
Energy relative to the lowest polymorph listed for this composition ... 99 kJ/mol of formula units

Unit cell a=3.849 b=3.849 c=4.393 alpha=90.00 beta=90.00 gamma=90.00
Atoms (fractional coordinates):
Mo 0.000 0.000 0.000
Ru 0.500 0.500 0.000
Au 0.000 0.500 0.500
Au 0.500 0.000 0.500

Record 6
First-principles (GGA-PBE) data for a relaxed HfAl2Hg2 crystal, as listed in Alexandria.

Energy relative to the elements ... 0.114 eV per atom
Energy relative to the lowest polymorph listed for this composition ... 0 kJ/mol of formula units

Unit cell a=7.705 b=7.705 c=3.326 alpha=90.00 beta=90.00 gamma=90.00
Atoms (fractional coordinates):
Hf 0.000 0.000 0.000
Hf 0.500 0.500 0.000
Al 0.131 0.369 0.000
Al 0.369 0.869 0.000
Al 0.631 0.131 0.000
Al 0.869 0.631 0.000
Hg 0.170 0.670 0.500
Hg 0.330 0.170 0.500
Hg 0.670 0.830 0.500
Hg 0.830 0.330 0.500

Record 7
First-principles (GGA-PBE) data for a relaxed Sr2LiCl crystal, as listed in Alexandria.

Energy relative to the lowest polymorph listed for this composition ... 18 kJ/mol of formula units
E_form (uncorrected) ... -743 meV/atom

Unit cell a=9.875 b=9.875 c=9.875 alpha=24.37 beta=24.37 gamma=24.37
Atoms (fractional coordinates):
Sr 0.000 0.000 0.000
Sr 0.157 0.157 0.157
Li 0.579 0.579 0.579
Cl 0.410 0.410 0.410

Record 8
First-principles (GGA-PBE) data for a relaxed Dy6ThTe8 crystal, as listed in Alexandria.

E_form (uncorrected) ... -1305 meV/atom

Unit cell a=8.680 b=8.680 c=8.680 alpha=60.00 beta=60.00 gamma=60.00
Atoms (fractional coordinates):
Dy 0.000 0.000 0.500
Dy 0.000 0.500 0.000
Dy 0.000 0.500 0.500
Dy 0.500 0.000 0.000
Dy 0.500 0.000 0.500
Dy 0.500 0.500 0.000
Th 0.000 0.000 0.000
Te 0.250 0.250 0.250
Te 0.262 0.262 0.738
Te 0.262 0.738 0.262
Te 0.262 0.738 0.738
Te 0.738 0.262 0.262
Te 0.738 0.262 0.738
Te 0.738 0.738 0.262
Te 0.750 0.750 0.750

Record 9
First-principles (GGA-PBE) data for a relaxed Ac4Hg2IrCl crystal, as listed in Alexandria.

E_form (uncorrected) ... -784 meV/atom

Unit cell a=7.903 b=4.384 c=8.389 alpha=90.00 beta=107.03 gamma=90.00
Atoms (fractional coordinates):
Ac 0.211 0.000 0.212
Ac 0.230 0.500 0.775
Ac 0.770 0.500 0.225
Ac 0.789 0.000 0.788
Hg 0.000 0.000 0.500
Hg 0.500 0.500 0.500
Ir 0.000 0.500 0.000
Cl 0.500 0.000 0.000

Record 10
First-principles (GGA-PBE) data for a relaxed Pm6Pr3Dy2Tm crystal, as listed in Alexandria.

Energy relative to the elements ... 0.018 eV per atom

Unit cell a=6.304 b=6.304 c=12.032 alpha=95.02 beta=95.02 gamma=120.01
Atoms (fractional coordinates):
Pm 0.082 0.415 0.245
Pm 0.251 0.251 0.755
Pm 0.415 0.082 0.245
Pm 0.585 0.918 0.755
Pm 0.749 0.749 0.245
Pm 0.918 0.585 0.755
Pr 0.167 0.833 0.500
Pr 0.500 0.500 0.500
Pr 0.833 0.167 0.500
Dy 0.333 0.667 0.000
Dy 0.667 0.333 0.000
Tm 0.000 0.000 0.000

Record 11
First-principles (GGA-PBE) data for a relaxed GdCdHg crystal, as listed in Alexandria.

Energy relative to the elements ... -0.265 eV per atom

Unit cell a=4.935 b=4.935 c=4.935 alpha=60.00 beta=60.00 gamma=60.00
Atoms (fractional coordinates):
Gd 0.000 0.000 0.000
Cd 0.500 0.500 0.500
Hg 0.750 0.750 0.750

Record 12
First-principles (GGA-PBE) data for a relaxed Er8Ni2Ir crystal, as listed in Alexandria.

Energy relative to the elements ... -0.364 eV per atom
Energy relative to the lowest polymorph listed for this composition ... 0 kJ/mol of formula units

Unit cell a=8.824 b=8.824 c=6.566 alpha=105.19 beta=105.19 gamma=32.63
Atoms (fractional coordinates):
Er 0.037 0.037 0.292
Er 0.202 0.202 0.826
Er 0.330 0.330 0.522
Er 0.409 0.409 0.055
Er 0.591 0.591 0.945
Er 0.670 0.670 0.478
Er 0.798 0.798 0.174
Er 0.963 0.963 0.708
Ni 0.188 0.188 0.219
Ni 0.812 0.812 0.781
Ir 0.500 0.500 0.500

| no. | energy (eV/atom) |
| --- | --- |
| 1 | -4.995 |
| 2 | -3.096 |
| 3 | -3.559 |
| 4 | -4.799 |
| 5 | -6.286 |
| 6 | -3.495 |
| 7 | -2.524 |
| 8 | -5.316 |
| 9 | -4.252 |
| 10 | -4.692 |
| 11 | -5.365 |
| 12 | -5.539 |